VASP calculation (GGA-PBE) on crystalline DyHo2Cd3Cu2Ag at its relaxed geometry.

energy relative to the elements: -264 kJ/mol of formula units

Lattice parameters (Å, degrees): 3.851 7.653 7.653 119.99 90.00 90.00
Positions (direct):
Ag 0.000 0.000 0.000
Cd 0.500 0.000 0.269
Cd 0.500 0.731 0.731
Cd 0.500 0.269 0.000
Cu 0.500 0.667 0.333
Cu 0.500 0.333 0.667
Dy 0.000 0.410 0.410
Ho 0.000 0.590 0.000
Ho 0.000 0.000 0.590

---

VASP calculation (GGA-PBE) on crystalline Dy2HoCd3Cu2Ag at its relaxed geometry.

energy relative to the elements: -264 kJ/mol of formula units

Lattice parameters (Å, degrees): 3.854 7.662 7.662 120.01 90.00 90.00
Positions (direct):
Ag 0.000 0.000 0.000
Cd 0.500 0.269 0.000
Cd 0.500 0.000 0.269
Cd 0.500 0.731 0.731
Cu 0.500 0.666 0.333
Cu 0.500 0.333 0.666
Dy 0.000 0.590 0.000
Dy 0.000 0.000 0.590
Ho 0.000 0.410 0.410

---

VASP calculation (GGA-PBE) on crystalline Dy2YCd3Cu2Ag at its relaxed geometry.

energy relative to the elements: -268 kJ/mol of formula units

Lattice parameters (Å, degrees): 3.857 7.669 7.669 120.08 90.00 90.00
Positions (direct):
Ag 0.000 0.000 0.000
Cd 0.500 0.731 0.000
Cd 0.500 0.269 0.269
Cd 0.500 0.000 0.731
Cu 0.500 0.667 0.333
Cu 0.500 0.333 0.667
Dy 0.000 0.410 0.000
Dy 0.000 0.000 0.410
Y 0.000 0.590 0.590